# 1
Here is a geometry-optimized TlTeW2 structure from Alexandria via LeMat-Bulk. Energies are from GGA-PBE.

## Properties
- relative energy among the computed polymorphs (kJ/mol of atoms) = 72.8
- density of states at the Fermi level (states/eV/cell) = 4.56
- size of the total moment (μB/atom) = 0.00
- crystal system = orthorhombic
- formation energy without anion corrections (meV per atom) = 1254
- total DFT energy (no corrections) (eV/atom) = -6.60

```
TlTeW2
1.0
3.3741 0.0000 0.0000
0.0000 5.0251 0.0000
0.0000 0.0000 4.7003
Te Tl W
1 1 2
direct
0.5000 0.0000 0.5000 Te
0.0000 0.5000 0.5000 Tl
0.0000 0.0000 0.0000 W
0.5000 0.5000 0.0000 W
```



# 2
Here is a geometry-optimized TlTeW2 structure from Alexandria via LeMat-Bulk. Energies are from GGA-PBE.

## Properties
- relative energy among the computed polymorphs (kJ/mol of atoms) = 62.7
- density of states at the Fermi level (states/eV/cell) = 2.22
- size of the total moment (μB/atom) = 0.00
- crystal system = cubic
- formation energy without anion corrections (meV per atom) = 1149
- total DFT energy (no corrections) (eV/atom) = -6.70

```
TlTeW2
1.0
4.8186 0.0000 0.0000
2.4093 4.1730 0.0000
2.4093 1.3910 3.9344
Te Tl W
1 1 2
direct
0.5000 0.5000 0.5000 Te
0.2500 0.2500 0.2500 Tl
0.0000 0.0000 0.0000 W
0.7500 0.7500 0.7500 W
```